Record 1
The following is a DFT calculation (PBE-GGA) of an optimized crystal structure of SrLa2Hg3.

Summary:
E_form (eV/atom): -0.52
SG: No. 123
Calculated density (g/cm3): 8.73
Volume (Å³ per atom): 30.68

Lattice parameters (Å, degrees): 3.922 3.922 11.965 90.00 90.00 90.00
Sites, in units of the cell vectors:
1 Sr 0.500 0.500 0.500
2 La 0.500 0.500 0.837
3 La 0.500 0.500 0.163
4 Hg 0.000 0.000 0.000
5 Hg 0.000 0.000 0.678
6 Hg 0.000 0.000 0.322


Record 2
The following is a DFT calculation (PBE-GGA) of an optimized crystal structure of SrLaHg2.

Summary:
E_form (eV/atom): -0.34
SG: No. 25
Calculated density (g/cm3): 7.67
Volume (Å³ per atom): 33.95

Lattice parameters (Å, degrees): 4.454 4.434 6.877 90.00 90.00 90.00
Sites, in units of the cell vectors:
1 Hg 0.000 0.000 0.962
2 Hg 0.500 0.500 0.294
3 La 0.000 0.000 0.431
4 Sr 0.500 0.500 0.814


Record 3
The following is a DFT calculation (PBE-GGA) of an optimized crystal structure of Sr2LaHg10.

Summary:
E_form (eV/atom): -0.16
SG: No. 55
Calculated density (g/cm3): 8.63
Volume (Å³ per atom): 34.32

Lattice parameters (Å, degrees): 6.534 11.065 12.342 90.00 90.00 90.00
Sites, in units of the cell vectors:
1 Sr 0.500 0.297 0.899
2 Sr 0.500 0.703 0.101
3 Sr 0.500 0.797 0.601
4 Sr 0.500 0.203 0.399
5 La 0.000 0.500 0.500
6 La 0.000 0.000 0.000
7 Hg 0.000 0.133 0.522
8 Hg 0.000 0.867 0.478
9 Hg 0.000 0.633 0.978
10 Hg 0.000 0.367 0.022
11 Hg 0.000 0.210 0.823
12 Hg 0.000 0.790 0.177
13 Hg 0.282 0.189 0.136
14 Hg 0.282 0.811 0.864
15 Hg 0.718 0.689 0.364
16 Hg 0.718 0.311 0.636
17 Hg 0.718 0.811 0.864
18 Hg 0.718 0.189 0.136
19 Hg 0.282 0.311 0.636
20 Hg 0.282 0.689 0.364
21 Hg 0.000 0.023 0.280
22 Hg 0.000 0.977 0.720
23 Hg 0.000 0.523 0.220
24 Hg 0.000 0.477 0.780
25 Hg 0.000 0.290 0.323
26 Hg 0.000 0.710 0.677


Record 4
The following is a DFT calculation (PBE-GGA) of an optimized crystal structure of SrLaHg2.

Summary:
E_form (eV/atom): -0.52
SG: No. 225
Calculated density (g/cm3): 8.49
Volume (Å³ per atom): 30.68

Lattice parameters (Å, degrees): 5.578 5.578 5.578 60.00 60.00 60.00
Sites, in units of the cell vectors:
1 Sr 0.750 0.750 0.750
2 Hg 0.000 0.000 0.000
3 Hg 0.500 0.500 0.500
4 La 0.250 0.250 0.250


Record 5
The following is a DFT calculation (PBE-GGA) of an optimized crystal structure of SrLaHg2.

Summary:
E_form (eV/atom): -0.31
SG: No. 119
Calculated density (g/cm3): 8.42
Volume (Å³ per atom): 30.93

Lattice parameters (Å, degrees): 6.526 6.526 6.526 137.87 137.87 61.11
Sites, in units of the cell vectors:
1 Hg 0.000 0.000 0.000
2 Hg 0.250 0.750 0.500
3 La 0.500 0.500 0.000
4 Sr 0.750 0.250 0.500


Record 6
The following is a DFT calculation (PBE-GGA) of an optimized crystal structure of Sr2LaHg.

Summary:
E_form (eV/atom): -0.01
SG: No. 216
Calculated density (g/cm3): 5.85
Volume (Å³ per atom): 36.52

Lattice parameters (Å, degrees): 5.912 5.912 5.912 60.00 60.00 60.00
Sites, in units of the cell vectors:
1 Hg 0.500 0.500 0.500
2 La 0.750 0.750 0.750
3 Sr 0.000 0.000 0.000
4 Sr 0.250 0.250 0.250


Please write out number 1 again, unchanged.
The following is a DFT calculation (PBE-GGA) of an optimized crystal structure of SrLa2Hg3.

Summary:
E_form (eV/atom): -0.52
SG: No. 123
Calculated density (g/cm3): 8.73
Volume (Å³ per atom): 30.68

Lattice parameters (Å, degrees): 3.922 3.922 11.965 90.00 90.00 90.00
Sites, in units of the cell vectors:
1 Sr 0.500 0.500 0.500
2 La 0.500 0.500 0.837
3 La 0.500 0.500 0.163
4 Hg 0.000 0.000 0.000
5 Hg 0.000 0.000 0.678
6 Hg 0.000 0.000 0.322


- calculated density of number 2 (SrLaHg2)?
  7.67 g/cm3


- The highest calculated density belongs to which entry?
  SrLa2Hg3


- Look up the calculated density of the first one.
  8.73 g/cm3